No. 1
VASP calculation (PBE) on an optimized crystal structure of CePdPb.

a b c (Å): 8.3330 8.3330 8.3330
angles (deg): 33.38 33.38 33.38
Last column: nearest neighbours and their distance in Å.
Positions (direct):
Ce (0.2408, 0.2408, 0.2408)  4 Pd 3.05-3.07, 3 Pb 3.27
Ce (0.7592, 0.7592, 0.7592)  4 Pd 3.05-3.07, 3 Pb 3.27
Pd (0.3711, 0.3711, 0.3711)  4 Pb 2.90-3.04, 4 Ce 3.05-3.07
Pd (0.6289, 0.6289, 0.6289)  4 Pb 2.90-3.04, 4 Ce 3.05-3.07
Pb (0.0000, 0.0000, 0.0000)  6 Pd 2.90
Pb (0.5000, 0.5000, 0.5000)  2 Pd 3.04, 6 Ce 3.27

## Properties
Energy: -32.78 eV per cell
E_form: -519 meV/atom
Calculated volume: 26.0 Å³ per atom
Theoretical density: 9.66 g/cm3


No. 2
VASP calculation (PBE) on an optimized crystal structure of YEr2Au3.

a b c (Å): 3.5607 3.5607 10.8548
angles (deg): 90.00 90.00 90.00
Last column: nearest neighbours and their distance in Å.
Positions (direct):
Y (0.0000, 0.0000, 0.0000)  8 Au 3.13
Er (0.0000, 0.0000, 0.3346)  8 Au 3.08-3.09
Er (0.0000, 0.0000, 0.6654)  8 Au 3.08-3.09
Au (0.5000, 0.5000, 0.1713)  4 Er 3.08, 4 Y 3.13
Au (0.5000, 0.5000, 0.5000)  8 Er 3.09
Au (0.5000, 0.5000, 0.8287)  4 Er 3.08, 4 Y 3.13

## Properties
Energy: -30.70 eV per cell
E_form: -879 meV/atom
Calculated volume: 22.9 Å³ per atom
Theoretical density: 12.24 g/cm3


No. 3
VASP calculation (PBE) on an optimized crystal structure of Pm4PtS2Cl.

a b c (Å): 7.1311 3.9750 7.2498
angles (deg): 90.00 108.54 90.00
Last column: nearest neighbours and their distance in Å.
Positions (direct):
Pm (0.2362, 0.0000, 0.2301)  3 S 2.79-2.88, 1 Pt 2.96, 2 Cl 3.00
Pm (0.2415, 0.5000, 0.7519)  3 S 2.86-2.91, 2 Pt 2.87, 1 Cl 2.98
Pm (0.7585, 0.5000, 0.2481)  3 S 2.86-2.91, 2 Pt 2.87, 1 Cl 2.98
Pm (0.7638, 0.0000, 0.7699)  3 S 2.79-2.88, 1 Pt 2.96, 2 Cl 3.00
Pt (0.0000, 0.0000, 0.5000)  6 Pm 2.87-2.96
S (0.0000, 0.5000, 0.0000)  6 Pm 2.79-2.86
S (0.5000, 0.0000, 0.0000)  6 Pm 2.88-2.91
Cl (0.5000, 0.5000, 0.5000)  6 Pm 2.98-3.00

## Properties
Energy: -48.36 eV per cell
Calculated volume: 24.4 Å³ per atom
Theoretical density: 7.45 g/cm3
Uncorrected formation energy: -159.43 kJ per mole of atoms


No. 4
VASP calculation (PBE) on an optimized crystal structure of Nd3CuRh3.

a b c (Å): 5.5929 5.5929 14.0524
angles (deg): 90.00 90.00 136.13
Last column: nearest neighbours and their distance in Å.
Positions (direct):
Nd (0.0220, 0.9780, 0.7500)  7 Rh 2.88-3.16
Nd (0.3013, 0.6987, 0.6013)  6 Rh 2.91-3.05
Nd (0.3013, 0.6987, 0.8987)  6 Rh 2.91-3.05
Nd (0.6987, 0.3013, 0.1013)  6 Rh 2.91-3.05
Nd (0.6987, 0.3013, 0.3987)  6 Rh 2.91-3.05
Nd (0.9780, 0.0220, 0.2500)  7 Rh 2.88-3.16
Cu (0.0000, 0.0000, 0.0000)  4 Rh 2.60
Cu (0.0000, 0.0000, 0.5000)  4 Rh 2.60
Rh (0.2559, 0.7441, 0.2500)  2 Rh 2.79, 7 Nd 2.88-3.11
Rh (0.4124, 0.5876, 0.0885)  2 Cu 2.60, 1 Rh 2.79, 1 Nd 2.91
Rh (0.4124, 0.5876, 0.4115)  2 Cu 2.60, 1 Rh 2.79, 1 Nd 2.91
Rh (0.5876, 0.4124, 0.5885)  2 Cu 2.60, 1 Rh 2.79, 1 Nd 2.91
Rh (0.5876, 0.4124, 0.9115)  2 Cu 2.60, 1 Rh 2.79, 1 Nd 2.91
Rh (0.7441, 0.2559, 0.7500)  2 Rh 2.79, 7 Nd 2.88-3.11

## Properties
Energy: -89.10 eV per cell
E_form: -585 meV/atom
Calculated volume: 21.8 Å³ per atom
Theoretical density: 8.78 g/cm3


No. 5
VASP calculation (PBE) on an optimized crystal structure of RbPt3C.

a b c (Å): 4.3924 4.3924 4.3924
angles (deg): 90.00 90.00 90.00
Last column: nearest neighbours and their distance in Å.
Positions (direct):
Rb (0.0000, 0.0000, 0.0000)  12 Pt 3.11
Pt (0.0000, 0.5000, 0.5000)  2 C 2.20
Pt (0.5000, 0.0000, 0.5000)  2 C 2.20
Pt (0.5000, 0.5000, 0.0000)  2 C 2.20
C (0.5000, 0.5000, 0.5000)  6 Pt 2.20

## Properties
Energy: -25.17 eV per cell
Excess energy over the best structure of this formula in the dataset: 0 meV per atom
E_form: 629 meV/atom
Calculated volume: 16.9 Å³ per atom
Theoretical density: 13.38 g/cm3


No. 6
VASP calculation (PBE) on an optimized crystal structure of LiYZn2.

a b c (Å): 3.5222 3.5222 6.4455
angles (deg): 90.00 90.00 90.00
Last column: nearest neighbours and their distance in Å.
Positions (direct):
Li (0.0000, 0.0000, 0.0000)  5 Zn 2.66-2.74
Y (0.5000, 0.5000, 0.3318)  6 Zn 2.99-3.28, 4 Li 3.28
Zn (0.0000, 0.0000, 0.5878)  1 Li 2.66, 4 Zn 2.91
Zn (0.5000, 0.5000, 0.8222)  4 Li 2.74, 4 Zn 2.91

## Properties
Energy: -11.30 eV per cell
E_form: -93 meV/atom
Calculated volume: 20.0 Å³ per atom
Theoretical density: 4.71 g/cm3


No. 7
VASP calculation (PBE) on an optimized crystal structure of RbMo3Ir.

a b c (Å): 4.5762 4.5762 4.5762
angles (deg): 90.00 90.00 90.00
Last column: nearest neighbours and their distance in Å.
Positions (direct):
Rb (0.0000, 0.0000, 0.0000)  6 Mo 2.29
Mo (0.0000, 0.0000, 0.5000)  2 Rb 2.29
Mo (0.0000, 0.5000, 0.0000)  2 Rb 2.29
Mo (0.5000, 0.0000, 0.0000)  2 Rb 2.29
Ir (0.5000, 0.5000, 0.5000)  12 Mo 3.24

## Properties
Energy: -25.63 eV per cell
Excess energy over the best structure of this formula in the dataset: 1623 meV per atom
E_form: 3338 meV/atom
Calculated volume: 19.2 Å³ per atom
Theoretical density: 9.80 g/cm3


No. 8
VASP calculation (PBE) on an optimized crystal structure of Ce2Ga4Pd3Rh.

a b c (Å): 4.2603 4.2603 10.4724
angles (deg): 90.00 90.00 90.00
Last column: nearest neighbours and their distance in Å.
Positions (direct):
Ce (0.0000, 0.5000, 0.2498)  6 Pd 3.24-3.38, 8 Ga 3.27-3.37, 2 Rh 3.38
Ce (0.5000, 0.0000, 0.7502)  6 Pd 3.24-3.38, 8 Ga 3.27-3.37, 2 Rh 3.38
Ga (0.0000, 0.0000, 0.0000)  4 Pd 2.55
Ga (0.0000, 0.5000, 0.6279)  3 Pd 2.49-2.52, 2 Rh 2.52
Ga (0.5000, 0.0000, 0.3721)  3 Pd 2.49-2.52, 2 Rh 2.52
Ga (0.5000, 0.5000, 0.0000)  4 Pd 2.55
Pd (0.0000, 0.5000, 0.8653)  5 Ga 2.49-2.55
Pd (0.5000, 0.0000, 0.1347)  5 Ga 2.49-2.55
Pd (0.5000, 0.5000, 0.5000)  4 Ga 2.52
Rh (0.0000, 0.0000, 0.5000)  4 Ga 2.52

## Properties
Energy: -54.53 eV per cell
E_form: -762 meV/atom
Calculated volume: 19.0 Å³ per atom
Theoretical density: 8.57 g/cm3


No. 9
VASP calculation (PBE) on an optimized crystal structure of Cu2TcAu.

a b c (Å): 2.6731 3.6993 5.7654
angles (deg): 90.00 90.00 90.00
Last column: nearest neighbours and their distance in Å.
Positions (direct):
Cu (0.0000, 0.0000, 0.2321)  4 Tc 2.65, 3 Cu 2.67-2.68, 4 Au 2.76
Cu (0.0000, 0.0000, 0.7679)  4 Tc 2.65, 3 Cu 2.67-2.68, 4 Au 2.76
Tc (0.5000, 0.5000, 0.0000)  8 Cu 2.65, 2 Tc 2.67, 2 Au 2.88
Au (0.5000, 0.5000, 0.5000)  2 Au 2.67, 8 Cu 2.76, 2 Tc 2.88

## Properties
Energy: -20.85 eV per cell
Excess energy over the best structure of this formula in the dataset: 83 meV per atom
E_form: 246 meV/atom
Calculated volume: 14.3 Å³ per atom
Theoretical density: 12.29 g/cm3


No. 10
VASP calculation (PBE) on an optimized crystal structure of Ac5NdRh4.

a b c (Å): 9.4601 9.4601 8.3701
angles (deg): 104.34 104.34 26.41
Last column: nearest neighbours and their distance in Å.
Positions (direct):
Ac (0.0000, 0.0000, 0.0000)  4 Rh 2.97
Ac (0.3351, 0.3351, 0.6491)  4 Rh 2.93-3.02
Ac (0.3369, 0.3369, 0.1677)  3 Rh 2.90-2.92
Ac (0.6631, 0.6631, 0.8323)  3 Rh 2.90-2.92
Ac (0.6649, 0.6649, 0.3509)  4 Rh 2.93-3.02
Nd (0.0000, 0.0000, 0.5000)  6 Rh 3.05-3.06
Rh (0.1716, 0.1716, 0.6060)  5 Ac 2.90-3.02, 1 Nd 3.06
Rh (0.4994, 0.4994, 0.7567)  4 Ac 2.92-2.97, 2 Nd 3.05
Rh (0.5006, 0.5006, 0.2433)  4 Ac 2.92-2.97, 2 Nd 3.05
Rh (0.8284, 0.8284, 0.3940)  5 Ac 2.90-3.02, 1 Nd 3.06

## Properties
Energy: -60.66 eV per cell
E_form: -594 meV/atom
Calculated volume: 32.2 Å³ per atom
Theoretical density: 8.71 g/cm3


No. 11
VASP calculation (PBE) on an optimized crystal structure of ZrSc2Br.

a b c (Å): 6.1528 6.1528 6.1528
angles (deg): 149.25 127.77 61.84
Last column: nearest neighbours and their distance in Å.
Positions (direct):
Zr (0.0000, 0.0000, 0.0000)  2 Br 2.92, 6 Sc 3.17-3.19, 2 Zr 3.26
Sc (0.4631, 0.4631, 0.0000)  2 Br 2.96, 4 Zr 3.19, 2 Sc 3.26
Sc (0.7423, 0.2423, 0.5000)  4 Br 3.16, 2 Zr 3.17, 4 Sc 3.26-3.37
Br (0.2292, 0.7292, 0.5000)  2 Zr 2.92, 6 Sc 2.96-3.16, 2 Br 3.26

## Properties
Energy: -23.42 eV per cell
Excess energy over the best structure of this formula in the dataset: 326 meV per atom
Calculated volume: 23.3 Å³ per atom
Theoretical density: 4.65 g/cm3
Uncorrected formation energy: -12.90 kJ per mole of atoms


No. 12
VASP calculation (PBE) on an optimized crystal structure of MgIn2Ni.

a b c (Å): 5.0545 5.0545 5.0545
angles (deg): 129.03 129.03 74.96
Last column: nearest neighbours and their distance in Å.
Positions (direct):
Mg (0.0000, 0.0000, 0.0000)  8 In 2.96, 4 Ni 3.08
In (0.2500, 0.7500, 0.5000)  4 Ni 2.96, 4 Mg 2.96, 4 In 3.08
In (0.7500, 0.2500, 0.5000)  4 Ni 2.96, 4 Mg 2.96, 4 In 3.08
Ni (0.5000, 0.5000, 0.0000)  8 In 2.96, 4 Mg 3.08

## Properties
Energy: -12.77 eV per cell
E_form: 20 meV/atom
Calculated volume: 19.0 Å³ per atom
Theoretical density: 6.84 g/cm3


No. 13
VASP calculation (PBE) on an optimized crystal structure of SiIr2Br.

a b c (Å): 9.9969 9.9969 9.9969
angles (deg): 16.76 16.76 16.76
Last column: nearest neighbours and their distance in Å.
Positions (direct):
Si (0.0000, 0.0000, 0.0000)  3 Ir 2.51
Ir (0.4708, 0.4708, 0.4708)  3 Br 2.69, 9 Ir 2.77-2.91
Ir (0.7296, 0.7296, 0.7296)  3 Si 2.51, 3 Ir 2.77
Br (0.2086, 0.2086, 0.2086)  3 Ir 2.69, 6 Br 2.91

## Properties
Energy: -22.88 eV per cell
Excess energy over the best structure of this formula in the dataset: 533 meV per atom
Calculated volume: 18.1 Å³ per atom
Theoretical density: 11.28 g/cm3
Uncorrected formation energy: 46.63 kJ per mole of atoms


No. 14
VASP calculation (PBE) on an optimized crystal structure of Sr3SnBr2Cl6.

a b c (Å): 8.7068 8.7068 6.4046
angles (deg): 92.64 92.64 59.92
Last column: nearest neighbours and their distance in Å.
Positions (direct):
Sr (0.0000, 0.0000, 0.0000)  4 Cl 2.97, 2 Br 3.08
Sr (0.0000, 0.5000, 0.5000)  4 Cl 2.89-2.93, 2 Br 3.06
Sr (0.5000, 0.0000, 0.5000)  4 Cl 2.89-2.93, 2 Br 3.06
Sn (0.5000, 0.5000, 0.5000)  6 Cl 2.85-2.92
Br (0.1756, 0.1756, 0.7769)  3 Sr 3.06-3.08
Br (0.8244, 0.8244, 0.2231)  3 Sr 3.06-3.08
Cl (0.1737, 0.6708, 0.7350)  1 Sn 2.92, 2 Sr 2.93-2.97
Cl (0.3292, 0.8263, 0.2650)  1 Sn 2.92, 2 Sr 2.93-2.97
Cl (0.3306, 0.3306, 0.2804)  1 Sn 2.85, 2 Sr 2.89
Cl (0.6694, 0.6694, 0.7196)  1 Sn 2.85, 2 Sr 2.89
Cl (0.6708, 0.1737, 0.7350)  1 Sn 2.92, 2 Sr 2.93-2.97
Cl (0.8263, 0.3292, 0.2650)  1 Sn 2.92, 2 Sr 2.93-2.97

## Properties
Energy: -47.37 eV per cell
Calculated volume: 35.0 Å³ per atom
Theoretical density: 2.98 g/cm3
Uncorrected formation energy: -192.13 kJ per mole of atoms